Here is a relaxed structure of AlFe2RhC from Alexandria via LeMat-Bulk. Energies are from PBE.

Properties
- density (g cm⁻³) = 7.3
- energy relative to the elements (kJ per mole of atoms) = -18

a = 3.7548 Å, b = 3.7548 Å, c = 4.0768 Å
α = 90.00°, β = 90.00°, γ = 90.00°
Space group P4/mmm (No. 123)
Unique sites:
Al 0.0000 0.0000 0.0000
Fe 0.0000 0.5000 0.5000
Rh 0.5000 0.5000 0.0000
C 0.5000 0.5000 0.5000